[1]
# Sr2MgV2Si4O14

An optimized crystal structure of Sr2MgV2Si4O14 (PBE+U, Alexandria).

Cell: 7.907 7.907 7.289 Å, 85.90 85.90 41.06°
Site moments in Bohr magnetons follow the coordinates.
Sites, in units of the cell vectors:
1 Sr 0.190 0.192 0.224  0.00
2 Sr 0.808 0.810 0.776  0.00
3 Mg 0.874 0.126 0.500  0.00
4 V 0.897 0.873 0.241  1.91
5 V 0.127 0.103 0.759  1.91
6 Si 0.372 0.406 0.535  0.00
7 Si 0.594 0.628 0.465  0.00
8 Si 0.611 0.606 0.019  0.00
9 Si 0.394 0.389 0.981  0.00
10 O 0.629 0.644 0.238  0.00
11 O 0.356 0.371 0.762  0.00
12 O 0.474 0.526 0.500  0.00
13 O 0.500 0.500 0.000  0.00
14 O 0.092 0.591 0.453  -0.01
15 O 0.409 0.908 0.547  -0.01
16 O 0.903 0.407 0.931  -0.01
17 O 0.593 0.097 0.069  -0.01
18 O 0.996 0.986 0.745  -0.03
19 O 0.014 0.004 0.255  -0.03
20 O 0.421 0.895 0.933  0.00
21 O 0.105 0.579 0.067  0.00
22 O 0.623 0.112 0.467  0.00
23 O 0.888 0.377 0.533  0.00

magnetic moment = 4.0 μB per cell
space group = C2, No. 5
E = -7.44 eV/atom
energy above the lowest structure with this stoichiometry = 0.00 eV/f.u.

=====

[2]
# Sr2MgV2Si4O14

An optimized crystal structure of Sr2MgV2Si4O14 (PBE+U, Alexandria).

Cell: 7.165 5.510 7.857 Å, 70.39 90.00 90.00°
Site moments in Bohr magnetons follow the coordinates.
Sites, in units of the cell vectors:
1 Sr 0.500 0.795 0.418  0.00
2 Sr 0.000 0.186 0.610  0.01
3 Mg 0.000 0.793 0.365  0.01
4 V 0.500 0.102 0.805  1.10
5 V 0.000 0.157 0.039  2.55
6 Si 0.781 0.611 0.798  0.00
7 Si 0.729 0.380 0.237  0.00
8 Si 0.271 0.380 0.237  0.00
9 Si 0.219 0.611 0.798  0.00
10 O 0.500 0.359 0.251  0.00
11 O 0.000 0.640 0.700  0.01
12 O 0.796 0.478 0.021  0.00
13 O 0.204 0.478 0.021  0.00
14 O 0.687 0.393 0.726  0.01
15 O 0.812 0.089 0.323  0.01
16 O 0.205 0.564 0.347  0.00
17 O 0.317 0.891 0.713  0.00
18 O 0.000 0.938 0.919  -0.13
19 O 0.500 0.981 0.028  -0.12
20 O 0.188 0.089 0.323  0.01
21 O 0.313 0.393 0.726  0.01
22 O 0.683 0.891 0.713  0.00
23 O 0.795 0.564 0.347  0.00

magnetic moment = 4.0 μB per cell
space group = Pm, No. 6
E = -7.32 eV/atom
energy above the lowest structure with this stoichiometry = 2.71 eV/f.u.

=====

[3]
# Sr2MgV2Si4O14

An optimized crystal structure of Sr2MgV2Si4O14 (PBE+U, Alexandria).

Cell: 5.597 7.457 8.264 Å, 101.29 110.75 95.20°
Site moments in Bohr magnetons follow the coordinates.
Sites, in units of the cell vectors:
1 Sr 0.196 0.340 0.352  0.00
2 Sr 0.829 0.657 0.692  0.00
3 Mg 0.718 0.930 0.462  0.00
4 V 0.844 0.240 0.817  1.92
5 V 0.087 0.833 0.214  1.90
6 Si 0.370 0.489 0.806  0.00
7 Si 0.663 0.539 0.229  0.00
8 Si 0.583 0.093 0.179  0.00
9 Si 0.371 0.918 0.752  0.00
10 O 0.645 0.322 0.255  0.00
11 O 0.375 0.691 0.745  0.00
12 O 0.500 0.532 0.022  0.00
13 O 0.465 0.031 0.964  0.00
14 O 0.067 0.387 0.719  0.00
15 O 0.547 0.655 0.365  0.01
16 O 0.854 0.019 0.278  0.00
17 O 0.597 0.984 0.680  -0.01
18 O 0.024 0.744 0.992  -0.06
19 O 0.016 0.249 0.040  -0.07
20 O 0.409 0.033 0.292  0.00
21 O 0.077 0.935 0.639  0.01
22 O 0.544 0.381 0.710  0.00
23 O 0.971 0.619 0.298  0.00

magnetic moment = 4.0 μB per cell
space group = P1, No. 1
E = -7.39 eV/atom
energy above the lowest structure with this stoichiometry = 1.12 eV/f.u.

=====

[4]
# Sr2MgV2Si4O14

An optimized crystal structure of Sr2MgV2Si4O14 (PBE+U, Alexandria).

Cell: 9.914 9.914 7.209 Å, 90.00 90.00 147.74°
Site moments in Bohr magnetons follow the coordinates.
Sites, in units of the cell vectors:
1 Sr 0.875 0.125 0.000  0.03
2 Sr 0.127 0.873 0.500  0.00
3 Mg 0.679 0.321 0.000  0.10
4 V 0.089 0.911 0.000  1.90
5 V 0.911 0.089 0.500  1.07
6 Si 0.580 0.420 0.276  0.01
7 Si 0.412 0.588 0.228  0.00
8 Si 0.412 0.588 0.772  0.00
9 Si 0.580 0.420 0.724  0.01
10 O 0.391 0.609 0.000  0.00
11 O 0.600 0.400 0.500  0.00
12 O 0.497 0.503 0.246  0.00
13 O 0.497 0.503 0.754  0.00
14 O 0.858 0.614 0.193  0.01
15 O 0.637 0.874 0.308  0.00
16 O 0.126 0.363 0.692  0.00
17 O 0.386 0.142 0.807  0.01
18 O 0.999 0.001 0.500  -0.10
19 O 0.997 0.003 0.000  -0.03
20 O 0.637 0.874 0.692  0.00
21 O 0.858 0.614 0.807  0.01
22 O 0.386 0.142 0.193  0.01
23 O 0.126 0.363 0.308  0.00

magnetic moment = 4.0 μB per cell
space group = Amm2, No. 38
E = -7.31 eV/atom
energy above the lowest structure with this stoichiometry = 3.10 eV/f.u.

=====

[5]
# Sr2MgV2Si4O14

An optimized crystal structure of Sr2MgV2Si4O14 (PBE+U, Alexandria).

Cell: 7.344 5.649 7.548 Å, 74.42 90.00 90.00°
Site moments in Bohr magnetons follow the coordinates.
Sites, in units of the cell vectors:
1 Sr 0.000 0.862 0.354  0.00
2 Sr 0.500 0.117 0.631  0.00
3 Mg 0.000 0.718 0.940  0.00
4 V 0.000 0.155 0.743  2.68
5 V 0.500 0.905 0.219  1.09
6 Si 0.718 0.573 0.779  0.01
7 Si 0.773 0.402 0.228  0.00
8 Si 0.227 0.402 0.228  0.00
9 Si 0.282 0.573 0.779  0.01
10 O 0.000 0.389 0.288  0.00
11 O 0.500 0.632 0.765  0.00
12 O 0.783 0.480 0.000  0.00
13 O 0.217 0.480 0.000  0.00
14 O 0.818 0.837 0.708  0.00
15 O 0.689 0.636 0.287  0.00
16 O 0.315 0.131 0.312  0.00
17 O 0.233 0.369 0.676  0.00
18 O 0.500 0.012 0.994  -0.12
19 O 0.000 0.996 0.027  0.00
20 O 0.311 0.636 0.287  0.00
21 O 0.182 0.837 0.708  0.00
22 O 0.767 0.369 0.676  0.00
23 O 0.685 0.131 0.312  0.00

magnetic moment = 4.0 μB per cell
space group = Pm, No. 6
E = -7.34 eV/atom
energy above the lowest structure with this stoichiometry = 2.31 eV/f.u.